First-principles (GGA-PBE) data for an optimized crystal structure of Rb2TcBRu, as listed in Alexandria.

Output
DOS at the Fermi energy = 1.400 states/eV per atom
energy of formation from the pure elements = 2.0820 eV/atom

Unit cell a=6.5297 b=6.5297 c=4.5762 alpha=90.00 beta=90.00 gamma=90.00
Sites, in units of the cell vectors:
Rb1 0.0000 0.5000 0.0000
Rb2 0.5000 0.0000 0.0000
Tc1 0.0000 0.0000 0.5000
B1 0.5000 0.5000 0.5000
Ru1 0.0000 0.0000 0.0000